## Li4Ti2Mn3Nb3O16 (PBE with a Hubbard U)

Data for a relaxed Li4Ti2Mn3Nb3O16 crystal.

Structure (CIF):
```
data_Li4Ti2Mn3Nb3O16
_cell_length_a 10.931
_cell_length_b 6.044
_cell_length_c 9.911
_cell_angle_alpha 90.00
_cell_angle_beta 92.42
_cell_angle_gamma 90.00
_space_group_name_H-M_alt 'C 1 m 1'
_space_group_IT_number 8
loop_
_space_group_symop_operation_xyz
'x,y,z'
'x,-y,z'
'x+1/2,y+1/2,z'
'x+1/2,-y+1/2,z'
loop_
_atom_site_label
_atom_site_type_symbol
_atom_site_fract_x
_atom_site_fract_y
_atom_site_fract_z
Li1 Li 0.000 0.000 0.000
Li2 Li 0.012 0.000 0.514
Li3 Li 0.173 0.500 0.918
Li4 Li 0.337 0.000 0.420
Ti1 Ti 0.180 0.500 0.521
Ti2 Ti 0.372 0.000 0.994
Mn1 Mn 0.334 0.500 0.220
Mn2 Mn 0.429 0.245 0.716
Nb1 Nb 0.093 0.252 0.237
Nb2 Nb 0.189 0.000 0.746
O1 O 0.001 0.000 0.330
O2 O 0.020 0.500 0.360
O3 O 0.023 0.000 0.815
O4 O 0.106 0.256 0.610
O5 O 0.158 0.000 0.118
O6 O 0.160 0.500 0.116
O7 O 0.233 0.272 0.359
O8 O 0.265 0.218 0.867
O9 O 0.324 0.000 0.619
O10 O 0.337 0.500 0.594
O11 O 0.429 0.240 0.107
O12 O 0.489 0.000 0.871
```

Computed properties:
Electronic total energy in eV per cell: -441.87